Record 1
Material: CdNiHPt2
Method: DFT, PBE-GGA
State: optimized geometry

Cell lengths 3.931, 3.931, 4.272 Å; angles 90.00, 90.00, 90.00 degrees
Fractional coordinates of all 5 atoms:
Cd (0.000, 0.000, 0.500)
Ni (0.500, 0.500, 0.500)
H (0.000, 0.000, 0.000)
Pt (0.500, 0.000, 0.000)
Pt (0.000, 0.500, 0.000)

Results
DOS(E_F)	3.92	states/eV/f.u.
excess energy over the best structure of this formula in the dataset	14.2	kJ/mol of atoms
total DFT energy (no corrections)	-4.387	eV per atom

***

Record 2
Material: Cd2NiHPt
Method: DFT, PBE-GGA
State: optimized geometry

Cell lengths 4.758, 4.758, 3.125 Å; angles 90.00, 90.00, 90.00 degrees
Fractional coordinates of all 5 atoms:
Ni (0.000, 0.000, 0.500)
H (0.000, 0.000, 0.000)
Pt (0.500, 0.500, 0.500)
Cd (0.500, 0.000, 0.000)
Cd (0.000, 0.500, 0.000)

Results
DOS(E_F)	2.30	states/eV/f.u.
total DFT energy (no corrections)	-3.456	eV per atom

***

Record 3
Material: CdNi2HPt
Method: DFT, PBE-GGA
State: optimized geometry

Cell lengths 3.945, 3.945, 3.821 Å; angles 90.00, 90.00, 90.00 degrees
Fractional coordinates of all 5 atoms:
Pt (0.000, 0.000, 0.500)
H (0.000, 0.000, 0.000)
Cd (0.500, 0.500, 0.500)
Ni (0.000, 0.500, 0.000)
Ni (0.500, 0.000, 0.000)

Results
DOS(E_F)	5.53	states/eV/f.u.
excess energy over the best structure of this formula in the dataset	0.0	kJ/mol of atoms
total DFT energy (no corrections)	-4.437	eV per atom

***

Record 4
Material: PuCdNi2H8
Method: DFT, PBE-GGA
State: optimized geometry

Cell lengths 4.600, 4.600, 6.324 Å; angles 68.67, 68.67, 60.00 degrees
Fractional coordinates of all 12 atoms:
H (0.340, 0.900, 0.186)
H (0.900, 0.574, 0.186)
H (0.426, 0.660, 0.814)
H (0.818, 0.818, 0.545)
H (0.100, 0.426, 0.814)
H (0.182, 0.182, 0.455)
H (0.660, 0.100, 0.814)
H (0.574, 0.340, 0.186)
Cd (0.000, 0.000, 0.000)
Pu (0.500, 0.500, 0.500)
Ni (0.272, 0.272, 0.184)
Ni (0.728, 0.728, 0.816)

Results
DOS(E_F)	13.88	states/eV/f.u.
total DFT energy (no corrections)	-4.425	eV per atom

***

Repeat the first record exactly.
Material: CdNiHPt2
Method: DFT, PBE-GGA
State: optimized geometry

Cell lengths 3.931, 3.931, 4.272 Å; angles 90.00, 90.00, 90.00 degrees
Fractional coordinates of all 5 atoms:
Cd (0.000, 0.000, 0.500)
Ni (0.500, 0.500, 0.500)
H (0.000, 0.000, 0.000)
Pt (0.500, 0.000, 0.000)
Pt (0.000, 0.500, 0.000)

Results
DOS(E_F)	3.92	states/eV/f.u.
excess energy over the best structure of this formula in the dataset	14.2	kJ/mol of atoms
total DFT energy (no corrections)	-4.387	eV per atom

***

- What is the formula in the first record?
  CdNiHPt2

***

What did the fourth record say?
Material: PuCdNi2H8
Method: DFT, PBE-GGA
State: optimized geometry

Cell lengths 4.600, 4.600, 6.324 Å; angles 68.67, 68.67, 60.00 degrees
Fractional coordinates of all 12 atoms:
H (0.340, 0.900, 0.186)
H (0.900, 0.574, 0.186)
H (0.426, 0.660, 0.814)
H (0.818, 0.818, 0.545)
H (0.100, 0.426, 0.814)
H (0.182, 0.182, 0.455)
H (0.660, 0.100, 0.814)
H (0.574, 0.340, 0.186)
Cd (0.000, 0.000, 0.000)
Pu (0.500, 0.500, 0.500)
Ni (0.272, 0.272, 0.184)
Ni (0.728, 0.728, 0.816)

Results
DOS(E_F)	13.88	states/eV/f.u.
total DFT energy (no corrections)	-4.425	eV per atom